# Zr6GaPt (PBE, optimized geometry)
# Total magnetization (μB/f.u.): 0.0
# E_tot (eV per atom): -7.99
# Formation enthalpy at 0 K (meV/atom): -444.6
data_Zr6GaPt
_chemical_formula_sum 'Zr18 Ga3 Pt3'
_symmetry_space_group_name_H-M 'R -3'
_symmetry_Int_Tables_number 148
_symmetry_space_group_name_Hall '-R 3'
_cell_length_a 7.7498
_cell_length_b 7.7498
_cell_length_c 9.4901
_cell_angle_alpha 90.00
_cell_angle_beta 90.00
_cell_angle_gamma 120.00
loop_
_atom_site_label
_atom_site_type_symbol
_atom_site_fract_x
_atom_site_fract_y
_atom_site_fract_z
Zr1 Zr 0.0018 0.7512 0.2507
Ga1 Ga 0.0000 0.0000 0.0000
Pt1 Pt 0.0000 0.0000 0.5000

# Y3BiC (PBE, optimized geometry)
# Total magnetization (μB/f.u.): 0.0
# Relative energy among the computed polymorphs (meV per atom): 518
# E_tot (eV per atom): -6.56
# Formation enthalpy at 0 K (meV/atom): -56.9
data_Y3BiC
_chemical_formula_sum 'Y12 Bi4 C4'
_symmetry_space_group_name_H-M 'C m c m'
_symmetry_Int_Tables_number 63
_symmetry_space_group_name_Hall '-C 2c 2'
_cell_length_a 7.256
_cell_length_b 11.197
_cell_length_c 7.143
_cell_angle_alpha 90.00
_cell_angle_beta 90.00
_cell_angle_gamma 90.00
loop_
_atom_site_label
_atom_site_type_symbol
_atom_site_fract_x
_atom_site_fract_y
_atom_site_fract_z
Y1 Y 0.000 0.000 0.000
Y2 Y 0.246 0.258 0.250
Bi1 Bi 0.000 0.487 0.750
C1 C 0.000 0.136 0.750

# CaGd2Ho (PBE, optimized geometry)
# Total magnetization (μB/f.u.): 15.2
# Relative energy among the computed polymorphs (meV per atom): 78
# E_tot (eV per atom): -8.55
# Formation enthalpy at 0 K (meV/atom): 133.3
data_CaGd2Ho
_chemical_formula_sum 'Ca4 Gd8 Ho4'
_symmetry_space_group_name_H-M 'F m -3 m'
_symmetry_Int_Tables_number 225
_symmetry_space_group_name_Hall '-F 4 2 3'
_cell_length_a 8.134
_cell_length_b 8.134
_cell_length_c 8.134
_cell_angle_alpha 90.00
_cell_angle_beta 90.00
_cell_angle_gamma 90.00
loop_
_atom_site_label
_atom_site_type_symbol
_atom_site_fract_x
_atom_site_fract_y
_atom_site_fract_z
Ca1 Ca 0.000 0.000 0.000
Gd1 Gd 0.250 0.250 0.250
Ho1 Ho 0.000 0.000 0.500

# Ni3Sn2 (PBE, optimized geometry)
# Total magnetization (μB/f.u.): 0.0
# Relative energy among the computed polymorphs (meV per atom): 0
# E_tot (eV per atom): -5.33
# Formation enthalpy at 0 K (meV/atom): -261.7
data_Ni3Sn2
_chemical_formula_sum 'Ni12 Sn8'
_symmetry_space_group_name_H-M 'P n m a'
_symmetry_Int_Tables_number 62
_cell_length_a 7.141
_cell_length_b 5.232
_cell_length_c 8.216
_cell_angle_alpha 90.00
_cell_angle_beta 90.00
_cell_angle_gamma 90.00
loop_
_symmetry_equiv_pos_as_xyz
'x,y,z'
'-x,-y,-z'
'-x+1/2,-y,z+1/2'
'x+1/2,y,-z+1/2'
'x+1/2,-y+1/2,-z+1/2'
'-x+1/2,y+1/2,z+1/2'
'-x,y+1/2,-z'
'x,-y+1/2,z'
loop_
_atom_site_label
_atom_site_type_symbol
_atom_site_fract_x
_atom_site_fract_y
_atom_site_fract_z
Ni1 Ni 0.092 0.250 0.127
Ni2 Ni 0.235 0.504 0.875
Sn1 Sn 0.060 0.750 0.595
Sn2 Sn 0.098 0.750 0.141

# PmNd6Tm (PBE, optimized geometry)
# Total magnetization (μB/f.u.): 0.0
# E_tot (eV per atom): -4.71
# Formation enthalpy at 0 K (meV/atom): 16.3
data_PmNd6Tm
_chemical_formula_sum 'Pm1 Nd6 Tm1'
_symmetry_space_group_name_H-M 'P 4/m m m'
_symmetry_Int_Tables_number 123
_symmetry_space_group_name_Hall '-P 4 2'
_cell_length_a 5.165
_cell_length_b 5.165
_cell_length_c 10.325
_cell_angle_alpha 90.00
_cell_angle_beta 90.00
_cell_angle_gamma 90.00
loop_
_atom_site_label
_atom_site_type_symbol
_atom_site_fract_x
_atom_site_fract_y
_atom_site_fract_z
Pm1 Pm 0.000 0.000 0.000
Nd1 Nd 0.000 0.500 0.252
Nd2 Nd 0.500 0.500 0.000
Nd3 Nd 0.500 0.500 0.500
Tm1 Tm 0.000 0.000 0.500

# YZr3Mo (PBE, optimized geometry)
# Total magnetization (μB/f.u.): 0.0
# Relative energy among the computed polymorphs (meV per atom): 0
# E_tot (eV per atom): -8.12
# Formation enthalpy at 0 K (meV/atom): 464.8
data_YZr3Mo
_chemical_formula_sum 'Y1 Zr3 Mo1'
_symmetry_space_group_name_H-M 'P m -3 m'
_symmetry_Int_Tables_number 221
_symmetry_space_group_name_Hall '-P 4 2 3'
_cell_length_a 5.124
_cell_length_b 5.124
_cell_length_c 5.124
_cell_angle_alpha 90.00
_cell_angle_beta 90.00
_cell_angle_gamma 90.00
loop_
_atom_site_label
_atom_site_type_symbol
_atom_site_fract_x
_atom_site_fract_y
_atom_site_fract_z
Y1 Y 0.000 0.000 0.000
Zr1 Zr 0.000 0.500 0.500
Mo1 Mo 0.500 0.500 0.500

- Among the records above, which one has the highest total magnetization?
  CaGd2Ho

- Which formula does entry 5 have?
  PmNd6Tm

- The lowest formation enthalpy at 0 K belongs to which entry?
  Zr6GaPt